Compound: YAlPd
Source: Alexandria
Functional: GGA-PBE
Structure: relaxed

Output
Total moment, μB/f.u.: 0.00
Symmetry: No. 62
E_form, eV per atom: -0.88

a = 4.4781 Å, b = 6.9531 Å, c = 7.7405 Å
α = 90.00°, β = 90.00°, γ = 90.00°
Last column: nearest neighbours and their distance in Å.
Fractional coordinates of all 12 atoms:
Pd 0.7500 0.7230 0.3856  4 Al 2.62-2.68, 1 Y 2.87
Pd 0.2500 0.2770 0.6144  4 Al 2.62-2.68, 1 Y 2.87
Pd 0.2500 0.7770 0.8856  4 Al 2.62-2.68, 1 Y 2.87
Pd 0.7500 0.2230 0.1144  4 Al 2.62-2.68, 1 Y 2.87
Y 0.7500 0.4702 0.8179  5 Pd 2.87-3.14, 1 Al 3.07
Y 0.2500 0.5298 0.1821  5 Pd 2.87-3.14, 1 Al 3.07
Y 0.2500 0.0298 0.3179  5 Pd 2.87-3.14, 1 Al 3.07
Y 0.7500 0.9702 0.6821  5 Pd 2.87-3.14, 1 Al 3.07
Al 0.2500 0.6490 0.5645  4 Pd 2.62-2.68
Al 0.7500 0.3510 0.4355  4 Pd 2.62-2.68
Al 0.2500 0.1490 0.9355  4 Pd 2.62-2.68
Al 0.7500 0.8510 0.0645  4 Pd 2.62-2.68